No. 1
The following is a PBE-GGA calculation of a relaxed structure of LiMgCr2, from Alexandria via LeMat-Bulk.

Properties
energy relative to the elements: 0.709 eV per atom
volume: 144 Å³/cell
uncorrected energy: -4.980 eV per atom

Lattice parameters (Å, degrees): 3.2761 4.6878 9.4014 90.00 90.00 90.00
Space group Imm2 (No. 44)
Inequivalent atoms, fractional coordinates:
Li (0.0000, 0.0000, 0.0000)
Mg (0.0000, 0.5000, 0.7464)
Cr (0.0000, 0.0000, 0.5044)
Cr (0.0000, 0.5000, 0.2638)



No. 2
The following is a PBE-GGA calculation of a relaxed structure of La2Nd3ScTe6, from Alexandria via LeMat-Bulk.

Properties
volume: 761 Å³/cell
uncorrected energy: -5.523 eV per atom
E_form (uncorrected): -1.411 eV per atom

Lattice parameters (Å, degrees): 19.4878 4.4582 8.9961 90.00 103.16 90.00
Space group C2/m (No. 12)
Inequivalent atoms, fractional coordinates:
La (0.1660, 0.0000, 0.3335)
Nd (0.0000, 0.5000, 0.5000)
Nd (0.1741, 0.0000, 0.8381)
Sc (0.0000, 0.5000, 0.0000)
Te (0.0045, 0.0000, 0.7691)
Te (0.1565, 0.5000, 0.0753)
Te (0.1654, 0.5000, 0.5872)